Below is crystalline Cd2MoRhO6 at its relaxed geometry, with properties calculated at the GGA+U level.

```
10
Lattice="5.5059 0.0000 0.0000 0.0000 5.5059 0.0000 0.0000 0.0000 4.1668" Properties=species:S:1:pos:R:3 pbc="T T T"
Cd 0.0000 2.7530 0.0000
Cd 2.7530 0.0000 0.0000
Mo 0.0000 0.0000 2.2710
Rh 2.7530 2.7530 2.3411
O 0.0000 0.0000 0.2800
O 1.3589 1.3589 2.4030
O 1.3589 4.1470 2.4030
O 2.7530 2.7530 0.2673
O 4.1470 1.3589 2.4030
O 4.1470 4.1470 2.4030
```

Summary:
The density of states at the Fermi level comes out at 0.31 states/eV/atom. For the final energy, the calculation gives -5.474 eV/atom.